Entry 1:
A PBEsol-optimized structure of HgIrRu. Source: Alexandria, functional meta-GGA SCAN.

Properties
DOS(E_F) ... 2.59 states/eV/f.u.
Crystal system ... trigonal
Excess energy over the best structure of this formula in the dataset ... 0.000 eV per atom

Structure (POSCAR):
```
HgIrRu
1.0
2.7980 0.0000 0.0000
-1.3990 2.4231 0.0000
0.0000 0.0000 6.8927
Hg Ir Ru
1 1 1
direct
0.0000 0.0000 0.0029
0.3333 0.6667 0.6448
0.6667 0.3333 0.3523
```



Entry 2:
A PBEsol-optimized structure of TaCrBr2. Source: Alexandria, functional meta-GGA SCAN.

Properties
DOS(E_F) ... 2.33 states/eV/f.u.
Crystal system ... monoclinic
Excess energy over the best structure of this formula in the dataset ... 0.518 eV per atom
Formation energy without anion corrections ... 0.507 eV/atom

Structure (POSCAR):
```
TaCrBr2
1.0
3.1605 -0.0062 -0.0098
-1.3163 5.1684 -0.0035
-1.3163 -2.2092 4.6725
Br Cr Ta
2 1 1
direct
0.0000 0.5000 0.0000
0.0000 0.0000 0.5000
0.0000 0.5000 0.5000
0.0000 0.0000 0.0000
```



Entry 3:
A PBEsol-optimized structure of GaSiNi6. Source: Alexandria, functional meta-GGA SCAN.

Properties
DOS(E_F) ... 3.98 states/eV/f.u.
Crystal system ... tetragonal
Formation energy without anion corrections ... -0.380 eV/atom

Structure (POSCAR):
```
GaSiNi6
1.0
3.4934 0.0000 0.0000
0.0000 3.4934 0.0000
0.0000 0.0000 6.9802
Ga Si Ni
1 1 6
direct
0.0000 0.0000 0.0000
0.0000 0.0000 0.5000
0.5000 0.5000 0.0000
0.5000 0.5000 0.5000
0.5000 0.0000 0.2579
0.5000 0.0000 0.7421
0.0000 0.5000 0.2579
0.0000 0.5000 0.7421
```



| no. | M_tot (μB/f.u.) |
| --- | --- |
| 1 | 0.0 |
| 2 | 3.8 |
| 3 | 1.4 |